(1)
4
Lattice="5.4699 -1.6317 0.0000 5.4699 1.6317 0.0000 -1.5426 0.0000 4.6408" Properties=species:S:1:pos:R:3 comment="Cr2InPb PBE optimized geometry" delta_e_f_ev_per_fu=2.336 space_group="Cm, No. 8" magnetic_moment_mub_per_fu=7.3 crystal_system=monoclinic pbc="T T T"
Cr 0.0000 0.0000 0.0000
Cr 1.8144 0.0000 2.7164
In 7.9980 0.0000 0.3552
Pb 4.7123 0.0000 2.3107


(2)
10
Lattice="7.5241 0.0000 0.0000 0.0000 7.5241 0.0000 0.0000 0.0000 4.9722" Properties=species:S:1:pos:R:3 comment="CrIn2Pb2 PBE optimized geometry" delta_e_f_ev_per_fu=2.000 space_group="P4/mbm, No. 127" magnetic_moment_mub_per_fu=4.0 crystal_system=tetragonal polymorph_energy_mev_per_atom=0 pbc="T T T"
Cr 0.0000 0.0000 0.0000
Cr 3.7620 3.7620 0.0000
In 1.1944 2.5676 2.4861
In 2.5676 6.3296 2.4861
In 4.9565 1.1944 2.4861
In 6.3296 4.9565 2.4861
Pb 1.1494 4.9114 0.0000
Pb 2.6126 1.1494 0.0000
Pb 4.9114 6.3747 0.0000
Pb 6.3747 2.6126 0.0000